# 1
Compound: Dy4Cu2Hg5
Source: Alexandria
Functional: PBE
Structure: optimized geometry

Properties
Space-group type: P2/m, No. 10
M_tot (μB/f.u.): 0.00
Formation enthalpy at 0 K (meV/atom): -363
DFT total energy (eV/atom): -2.919

Lattice parameters (Å, degrees): 3.6810 7.5159 9.4073 92.72 90.00 90.00
With the nearest neighbours (Å) after each atom.
Atoms (fractional coordinates):
1 Dy 0.5000 0.7666 0.5698  4 Cu 2.92-2.94, 4 Hg 3.24-3.25
2 Dy 0.5000 0.1829 0.8535  2 Cu 2.93, 6 Hg 3.17-3.26
3 Dy 0.5000 0.2334 0.4302  4 Cu 2.92-2.94, 4 Hg 3.24-3.25
4 Dy 0.5000 0.8171 0.1465  2 Cu 2.93, 6 Hg 3.17-3.26
5 Cu 0.0000 0.0631 0.6257  1 Cu 2.51, 1 Hg 2.80
6 Cu 0.0000 0.9369 0.3743  1 Cu 2.51, 1 Hg 2.80
7 Hg 0.0000 0.5616 0.3313  1 Cu 2.83, 1 Hg 3.13
8 Hg 0.0000 0.1600 0.1439  1 Cu 2.80, 1 Hg 2.95
9 Hg 0.0000 0.5000 0.0000  4 Hg 2.95-3.13, 4 Dy 3.26
10 Hg 0.0000 0.8400 0.8561  1 Cu 2.80, 1 Hg 2.95
11 Hg 0.0000 0.4384 0.6687  1 Cu 2.83, 1 Hg 3.13

# 2
Compound: KIn2Tc
Source: Alexandria
Functional: PBE
Structure: optimized geometry

Properties
Space-group type: Imm2, No. 44
M_tot (μB/f.u.): 0.00
Formation enthalpy at 0 K (meV/atom): 306
DFT total energy (eV/atom): -3.929

Lattice parameters (Å, degrees): 8.6292 8.6292 4.5896 74.58 74.58 20.27
With the nearest neighbours (Å) after each atom.
Atoms (fractional coordinates):
1 In 0.9105 0.9105 0.0896  2 Tc 2.77, 2 In 3.04
2 In 0.7510 0.7510 0.7492  4 Tc 2.77, 2 In 3.04
3 K 0.5697 0.5697 0.4296  2 K 3.04
4 Tc 0.2687 0.2687 0.2315  6 In 2.77, 2 Tc 3.04

# 3
Compound: TiHg3O3
Source: Alexandria
Functional: PBE
Structure: optimized geometry

Properties
Space-group type: Cm, No. 8
ΔE_f (raw) (meV per atom): -1111
M_tot (μB/f.u.): 0.00
DFT total energy (eV/atom): -4.493

Lattice parameters (Å, degrees): 6.1255 6.1255 6.0129 91.80 91.80 102.44
With the nearest neighbours (Å) after each atom.
Atoms (fractional coordinates):
1 Ti 0.2883 0.2883 0.9580  3 O 1.77-1.80
2 Hg 0.4130 0.4130 0.5376  1 O 2.26
3 Hg 0.6249 0.8964 0.9677  1 O 2.11
4 Hg 0.8964 0.6249 0.9677  1 O 2.11
5 O 0.0017 0.3181 0.9520  1 Ti 1.80
6 O 0.4576 0.4576 0.1684  1 Ti 1.77
7 O 0.3181 0.0017 0.9520  1 Ti 1.80

# 4
Compound: BaLaHg2
Source: Alexandria
Functional: PBE
Structure: optimized geometry

Properties
Space-group type: R3m, No. 160
M_tot (μB/f.u.): 0.00
Formation enthalpy at 0 K (meV/atom): -340
DFT total energy (eV/atom): -2.203

Lattice parameters (Å, degrees): 4.3428 4.3428 9.5082 76.80 76.80 60.00
With the nearest neighbours (Å) after each atom.
Atoms (fractional coordinates):
1 Ba 0.5001 0.5001 0.4998  6 Hg 3.54
2 La 0.6663 0.6663 0.0012  6 Hg 3.25-3.27
3 Hg 0.0760 0.0760 0.7719  3 La 3.27, 3 Ba 3.54
4 Hg 0.2576 0.2576 0.2271  3 La 3.25, 3 Ba 3.54

# 5
Compound: CaNd2PaP4
Source: Alexandria
Functional: PBE
Structure: optimized geometry

Properties
Space-group type: P2/m, No. 10
M_tot (μB/f.u.): 0.00
Formation enthalpy at 0 K (meV/atom): -1395
DFT total energy (eV/atom): -6.729

Lattice parameters (Å, degrees): 4.1126 7.0725 7.1004 109.21 90.00 90.00
With the nearest neighbours (Å) after each atom.
Atoms (fractional coordinates):
1 Ca 0.5000 0.5000 0.0000  6 P 2.89-2.91
2 Nd 0.5000 0.0000 0.5000  6 P 2.89-2.91
3 Nd 0.0000 0.5000 0.5000  6 P 2.98-3.01
4 Pa 0.0000 0.0000 0.0000  6 P 2.77-2.83
5 P 0.5000 0.2370 0.2365  2 Pa 2.83, 1 Ca 2.89, 3 Nd 2.89-2.98
6 P 0.5000 0.7630 0.7635  2 Pa 2.83, 1 Ca 2.89, 3 Nd 2.89-2.98
7 P 0.0000 0.2391 0.7604  1 Pa 2.77, 3 Nd 2.91-3.01, 2 Ca 2.91
8 P 0.0000 0.7609 0.2396  1 Pa 2.77, 3 Nd 2.91-3.01, 2 Ca 2.91

# 6
Compound: DyEr
Source: Alexandria
Functional: PBE
Structure: optimized geometry

Properties
Space-group type: P2_1/m, No. 11
M_tot (μB/f.u.): 0.00
Formation enthalpy at 0 K (meV/atom): 43
DFT total energy (eV/atom): -4.540

Lattice parameters (Å, degrees): 3.4803 5.4583 6.7505 90.00 105.01 90.00
With the nearest neighbours (Å) after each atom.
Atoms (fractional coordinates):
1 Dy 0.8271 0.2500 0.6554  7 Er 3.42-3.55, 6 Dy 3.48-3.82
2 Dy 0.1729 0.7500 0.3446  7 Er 3.42-3.55, 6 Dy 3.48-3.82
3 Er 0.4350 0.7500 0.8698  4 Er 3.21-3.48, 7 Dy 3.42-3.55
4 Er 0.5650 0.2500 0.1302  4 Er 3.21-3.48, 7 Dy 3.42-3.55

# 7
Compound: CeAl3Cl12
Source: Alexandria
Functional: PBE
Structure: optimized geometry

Properties
Space-group type: P6_3/m, No. 176
ΔE_f (raw) (meV per atom): -1645
M_tot (μB/f.u.): 1.00
DFT total energy (eV/atom): -4.102

Lattice parameters (Å, degrees): 7.3593 12.2642 12.2642 120.00 90.00 90.00
With the nearest neighbours (Å) after each atom.
Atoms (fractional coordinates):
1 Ce 0.7500 0.6667 0.3333  6 Cl 2.88
2 Ce 0.2500 0.3333 0.6667  6 Cl 2.88
3 Al 0.2500 0.9047 0.6062  4 Cl 2.09-2.22
4 Al 0.2500 0.7016 0.0953  4 Cl 2.09-2.22
5 Al 0.2500 0.3938 0.2984  4 Cl 2.09-2.22
6 Al 0.7500 0.6062 0.7016  4 Cl 2.09-2.22
7 Al 0.7500 0.2984 0.9047  4 Cl 2.09-2.22
8 Al 0.7500 0.0953 0.3938  4 Cl 2.09-2.22
9 Cl 0.2500 0.9912 0.8022  1 Al 2.09
10 Cl 0.7500 0.9752 0.4754  1 Al 2.16
11 Cl 0.4854 0.7741 0.5327  1 Al 2.22
12 Cl 0.0146 0.7741 0.5327  1 Al 2.22
13 Cl 0.7500 0.5246 0.4997  1 Al 2.16
14 Cl 0.0146 0.7586 0.2259  1 Al 2.22
15 Cl 0.4854 0.7586 0.2259  1 Al 2.22
16 Cl 0.2500 0.8110 0.0088  1 Al 2.09
17 Cl 0.4854 0.4673 0.2414  1 Al 2.22
18 Cl 0.0146 0.4673 0.2414  1 Al 2.22
19 Cl 0.7500 0.8022 0.8110  1 Al 2.09
20 Cl 0.2500 0.4997 0.9752  1 Al 2.16
21 Cl 0.7500 0.5003 0.0248  1 Al 2.16
22 Cl 0.2500 0.1978 0.1890  1 Al 2.09
23 Cl 0.9854 0.5327 0.7586  1 Al 2.22
24 Cl 0.5146 0.5327 0.7586  1 Al 2.22
25 Cl 0.7500 0.1890 0.9912  1 Al 2.09
26 Cl 0.5146 0.2414 0.7741  1 Al 2.22
27 Cl 0.9854 0.2414 0.7741  1 Al 2.22
28 Cl 0.2500 0.4754 0.5003  1 Al 2.16
29 Cl 0.5146 0.2259 0.4673  1 Al 2.22
30 Cl 0.9854 0.2259 0.4673  1 Al 2.22
31 Cl 0.2500 0.0248 0.5246  1 Al 2.16
32 Cl 0.7500 0.0088 0.1978  1 Al 2.09

# 8
Compound: ScZnAs2
Source: Alexandria
Functional: PBE
Structure: optimized geometry

Properties
Space-group type: I-42d, No. 122
M_tot (μB/f.u.): 0.00
Formation enthalpy at 0 K (meV/atom): -441
DFT total energy (eV/atom): -4.667

Lattice parameters (Å, degrees): 6.9790 6.9790 5.9291 53.95 53.95 90.00
With the nearest neighbours (Å) after each atom.
Atoms (fractional coordinates):
1 Sc 0.5000 0.5000 0.0000  4 As 2.73
2 Sc 0.2500 0.7500 0.5000  4 As 2.73
3 As 0.6527 0.1250 0.2500  2 Zn 2.47, 2 Sc 2.73
4 As 0.0973 0.6250 0.2500  2 Zn 2.47, 2 Sc 2.73
5 As 0.3750 0.3473 0.7500  2 Zn 2.47, 2 Sc 2.73
6 As 0.8750 0.9027 0.7500  2 Zn 2.47, 2 Sc 2.73
7 Zn 0.0000 0.0000 0.0000  4 As 2.47
8 Zn 0.7500 0.2500 0.5000  4 As 2.47

# 9
Compound: Th8MnFe2
Source: Alexandria
Functional: PBE
Structure: optimized geometry

Properties
Space-group type: C2/m, No. 12
M_tot (μB/f.u.): 0.00
Formation enthalpy at 0 K (meV/atom): 50
DFT total energy (eV/atom): -7.719

Lattice parameters (Å, degrees): 7.2410 6.3196 7.2410 90.78 65.68 90.78
With the nearest neighbours (Å) after each atom.
Atoms (fractional coordinates):
1 Th 0.8532 0.8282 0.3913  2 Fe 2.65-2.83, 1 Mn 2.81
2 Th 0.3913 0.8282 0.8532  2 Fe 2.65-2.83, 1 Mn 2.81
3 Th 0.1468 0.1718 0.6087  2 Fe 2.65-2.83, 1 Mn 2.81
4 Th 0.3751 0.6630 0.3751  1 Fe 2.61
5 Th 0.6087 0.1718 0.1468  2 Fe 2.65-2.83, 1 Mn 2.81
6 Th 0.8756 0.6550 0.8756  1 Mn 2.63, 1 Fe 2.75
7 Th 0.1244 0.3450 0.1244  1 Mn 2.63, 1 Fe 2.75
8 Th 0.6249 0.3370 0.6249  1 Fe 2.61
9 Mn 0.0000 0.0000 0.0000  6 Th 2.63-2.81, 2 Fe 2.84
10 Fe 0.7672 0.0331 0.7672  6 Th 2.61-2.83, 1 Mn 2.84
11 Fe 0.2328 0.9669 0.2328  6 Th 2.61-2.83, 1 Mn 2.84

# 10
Compound: TmZr2Cr
Source: Alexandria
Functional: PBE
Structure: optimized geometry

Properties
Space-group type: R-3m, No. 166
M_tot (μB/f.u.): 0.00
Formation enthalpy at 0 K (meV/atom): 324
DFT total energy (eV/atom): -7.474

Lattice parameters (Å, degrees): 3.2806 3.2806 9.5934 80.16 80.16 60.00
With the nearest neighbours (Å) after each atom.
Atoms (fractional coordinates):
1 Cr 0.0000 0.0000 0.0000  6 Zr 2.67
2 Tm 0.5000 0.5000 0.5000  6 Tm 3.28, 6 Zr 3.39
3 Zr 0.2664 0.2664 0.2008  3 Cr 2.67
4 Zr 0.7336 0.7336 0.7992  3 Cr 2.67

# 11
Compound: Be2CuP
Source: Alexandria
Functional: PBE
Structure: optimized geometry

Properties
Space-group type: P2/m, No. 10
M_tot (μB/f.u.): 0.00
Formation enthalpy at 0 K (meV/atom): 175
DFT total energy (eV/atom): -4.065

Lattice parameters (Å, degrees): 3.3875 2.6699 5.0754 81.29 90.00 90.00
With the nearest neighbours (Å) after each atom.
Atoms (fractional coordinates):
1 P 0.5000 0.7500 0.7500  4 Be 2.21
2 Cu 0.5000 0.2500 0.2500  8 Be 2.35-2.50
3 Be 0.0000 0.7638 0.0292  2 P 2.21, 1 Be 2.23, 2 Cu 2.35
4 Be 0.0000 0.7362 0.4708  2 P 2.21, 1 Be 2.23, 2 Cu 2.35

# 12
Compound: CaCl2
Source: Alexandria
Functional: PBE
Structure: optimized geometry

Properties
Space-group type: P6_3/mmc, No. 194
ΔE_f (raw) (meV per atom): -2130
M_tot (μB/f.u.): 0.00
DFT total energy (eV/atom): -4.028

Lattice parameters (Å, degrees): 4.6888 4.6888 7.8810 90.00 90.00 120.00
With the nearest neighbours (Å) after each atom.
Atoms (fractional coordinates):
1 Ca 0.3333 0.6667 0.2500  3 Cl 2.71
2 Ca 0.6667 0.3333 0.7500  3 Cl 2.71
3 Cl 0.0000 0.0000 0.0000  6 Cl 3.35, 6 Ca 3.35
4 Cl 0.0000 0.0000 0.5000  6 Cl 3.35, 6 Ca 3.35
5 Cl 0.3333 0.6667 0.7500  3 Ca 2.71
6 Cl 0.6667 0.3333 0.2500  3 Ca 2.71